Density functional theory data (PBE-GGA) for an optimized crystal structure of Na2ThSO8.

Summary:
volume: 11.72 Å³ per atom
formation energy without anion corrections: -1.224 eV/atom
energy: -5.7118 eV/atom

a b c (Å): 5.1186 5.1186 6.1993
angles (deg): 90.00 90.00 120.00
Closest atoms and distances in Å follow each position.
Space group P-3m1 (No. 164)
Symmetry-distinct sites (fractional):
Na (0.3333, 0.6667, 0.3950) x2  4 O 2.28-2.32
Th (0.0000, 0.0000, 0.0000) x1  6 O 2.48
S (0.0000, 0.0000, 0.5000) x1  6 O 1.65
O (0.1489, 0.2979, 0.6609) x6  1 S 1.65
O (0.3333, 0.6667, 0.0275) x2  1 Na 2.28